Record 1
Compound: Sr2TiRhO5
Source: the Alexandria database
Functional: PBE
Structure: relaxed

Results
total moment	0.000	μB per cell
formation energy without anion corrections	-2.334	eV per atom

a = 3.6198 Å, b = 7.2068 Å, c = 9.9031 Å
α = 90.00°, β = 90.00°, γ = 104.54°
With the nearest neighbours (Å) after each atom.
Sites, in units of the cell vectors:
O  0.6508  0.3016  0.5044  1 Rh 2.03
O  0.4895  0.9790  0.3077  1 Ti 1.81
O  0.5105  0.0210  0.8077  1 Ti 1.81
O  0.9502  0.9005  0.5386  2 Ti 2.00, 1 Rh 2.16
O  0.0498  0.0995  0.0386  2 Ti 2.00, 1 Rh 2.16
O  0.3043  0.6086  0.3670  1 Ti 1.89
O  0.6916  0.3832  0.1338  2 Rh 2.15, 1 Ti 2.32
O  0.3084  0.6168  0.6338  2 Rh 2.15, 1 Ti 2.32
O  0.3492  0.6984  0.0044  1 Rh 2.03
O  0.6957  0.3914  0.8670  1 Ti 1.89
Ti  0.5782  0.1565  0.9630  4 O 1.81-2.00
Ti  0.4218  0.8435  0.4630  4 O 1.81-2.00
Sr  0.8729  0.7459  0.8141  7 O 2.53-2.70
Sr  0.1296  0.2591  0.6783  7 O 2.52-2.77
Sr  0.8704  0.7409  0.1783  7 O 2.52-2.77
Sr  0.1271  0.2541  0.3141  7 O 2.53-2.70
Rh  0.7960  0.5919  0.5171  4 O 2.03-2.16
Rh  0.2040  0.4081  0.0171  4 O 2.03-2.16

Record 2
Compound: LaW2Cl
Source: the Alexandria database
Functional: PBE
Structure: relaxed

Results
total moment	0.001	μB per cell
offset from the most stable computed form	0.0	kJ/mol of atoms
formation energy without anion corrections	-0.037	eV per atom

a = 3.2548 Å, b = 3.3348 Å, c = 8.0790 Å
α = 78.09°, β = 90.00°, γ = 90.00°
With the nearest neighbours (Å) after each atom.
Sites, in units of the cell vectors:
La  0.5000  0.6813  0.7619  4 Cl 3.16, 5 W 3.22-3.49, 4 La 3.25-3.33
W  0.0000  0.0410  0.0433  4 W 2.65
W  0.5000  0.4614  0.2028  4 W 2.65, 2 Cl 2.81
Cl  0.0000  0.3164  0.4920  2 W 2.81

Record 3
Compound: VPbSCl2
Source: the Alexandria database
Functional: PBE
Structure: relaxed

Results
total moment	3.496	μB per cell
offset from the most stable computed form	82.0	kJ/mol of atoms
formation energy without anion corrections	0.215	eV per atom

a = 5.4089 Å, b = 5.4089 Å, c = 5.3873 Å
α = 90.00°, β = 90.00°, γ = 90.00°
With the nearest neighbours (Å) after each atom.
Sites, in units of the cell vectors:
S  0.0000  0.0000  0.5000  2 Pb 2.69
Pb  0.0000  0.0000  0.0000  2 S 2.69, 4 Cl 2.70
Cl  0.0000  0.5000  0.0000  2 Pb 2.70
Cl  0.5000  0.0000  0.0000  2 Pb 2.70
V  0.5000  0.5000  0.5000  8 Cl 3.82, 4 S 3.82

Record 4
Compound: TbHo4Ir2
Source: the Alexandria database
Functional: PBE
Structure: relaxed

Results
calculated formation energy	-0.550	eV/atom
total moment	0.000	μB per cell

a = 6.3186 Å, b = 7.8714 Å, c = 7.8308 Å
α = 112.74°, β = 90.00°, γ = 90.00°
With the nearest neighbours (Å) after each atom.
Sites, in units of the cell vectors:
Ir  0.7500  0.7403  0.0145  6 Ho 2.76-3.00
Ir  0.7500  0.3730  0.4108  4 Ho 2.73-2.98, 1 Tb 2.82
Ir  0.2500  0.6270  0.5892  4 Ho 2.73-2.98, 1 Tb 2.82
Ir  0.2500  0.2597  0.9855  6 Ho 2.76-3.00
Ho  0.7500  0.0151  0.3798  2 Ir 2.73-2.84
Ho  0.5026  0.4156  0.7622  4 Ir 2.96-3.07, 2 Ho 3.13-3.19
Ho  0.7500  0.7503  0.6655  2 Ir 2.76-2.87
Ho  0.2500  0.2497  0.3345  2 Ir 2.76-2.87
Ho  0.4974  0.5844  0.2378  4 Ir 2.96-3.07, 2 Ho 3.13-3.19
Ho  0.9974  0.4156  0.7622  4 Ir 2.96-3.07, 2 Ho 3.13-3.19
Ho  0.0026  0.5844  0.2378  4 Ir 2.96-3.07, 2 Ho 3.13-3.19
Ho  0.2500  0.9849  0.6202  2 Ir 2.73-2.84
Tb  0.7500  0.1580  0.0270  1 Ir 2.82
Tb  0.2500  0.8420  0.9730  1 Ir 2.82

Record 5
Compound: Tb5CeTm2Th
Source: the Alexandria database
Functional: PBE
Structure: relaxed

Results
calculated formation energy	0.184	eV/atom
total moment	1.407	μB per cell

a = 5.6900 Å, b = 10.9794 Å, c = 9.7268 Å
α = 90.00°, β = 90.00°, γ = 105.02°
With the nearest neighbours (Å) after each atom.
Sites, in units of the cell vectors:
Tm  0.1156  0.2313  0.3299  8 Tb 3.30-3.55, 1 Ce 3.38
Tm  0.8727  0.7454  0.2178  1 Ce 3.26, 3 Tb 3.36-3.58, 2 Th 3.55
Tm  0.8844  0.7687  0.8299  8 Tb 3.30-3.55, 1 Ce 3.38
Tm  0.1273  0.2546  0.7178  1 Ce 3.26, 3 Tb 3.36-3.58, 2 Th 3.55
Tb  0.7288  0.4575  0.8245  1 Th 3.03, 1 Tm 3.30, 1 Ce 3.39
Tb  0.4688  0.9377  0.7407  2 Th 3.17-3.36, 3 Tb 3.30-3.55, 2 Tm 3.47
Tb  0.5312  0.0623  0.2407  2 Th 3.17-3.36, 3 Tb 3.30-3.55, 2 Tm 3.47
Tb  0.0143  0.0287  0.0182  2 Tm 3.31-3.58, 2 Th 3.43, 2 Tb 3.59
Tb  0.3021  0.6041  0.7069  2 Ce 3.36, 3 Tb 3.44-3.55, 3 Tm 3.55-3.71, 1 Th 3.55
Tb  0.9857  0.9713  0.5182  2 Tm 3.31-3.58, 2 Th 3.43, 2 Tb 3.59
Tb  0.2712  0.5425  0.3245  1 Th 3.03, 1 Tm 3.30, 1 Ce 3.39
Tb  0.6044  0.2087  0.5399  2 Tb 3.30-3.47, 4 Tm 3.36-3.51
Tb  0.6979  0.3959  0.2069  2 Ce 3.36, 3 Tb 3.44-3.55, 3 Tm 3.55-3.71, 1 Th 3.55
Tb  0.3956  0.7913  0.0399  2 Tb 3.30-3.47, 4 Tm 3.36-3.51
Th  0.5930  0.1859  0.9227  3 Tb 3.03-3.36
Th  0.4070  0.8141  0.4227  3 Tb 3.03-3.36
Ce  0.1905  0.3809  0.0233  2 Tm 3.26-3.38, 5 Tb 3.36-3.53, 2 Th 3.65
Ce  0.8095  0.6191  0.5233  2 Tm 3.26-3.38, 5 Tb 3.36-3.53, 2 Th 3.65

Record 6
Compound: CuAg2Ge
Source: the Alexandria database
Functional: PBE
Structure: relaxed

Results
calculated formation energy	0.316	eV/atom
total moment	0.000	μB per cell

a = 2.8467 Å, b = 2.8467 Å, c = 10.1888 Å
α = 81.97°, β = 81.97°, γ = 60.00°
With the nearest neighbours (Å) after each atom.
Sites, in units of the cell vectors:
Ge  0.5000  0.5000  0.5000  6 Ge 2.85, 6 Ag 2.96
Ag  0.0849  0.0849  0.7454  1 Cu 2.56, 6 Ag 2.85
Ag  0.9151  0.9151  0.2546  1 Cu 2.56, 6 Ag 2.85
Cu  0.0000  0.0000  0.0000  2 Ag 2.56, 6 Cu 2.85

Record 7
Compound: In3RuBr
Source: the Alexandria database
Functional: PBE
Structure: relaxed

Results
total moment	0.000	μB per cell
offset from the most stable computed form	0.0	kJ/mol of atoms
formation energy without anion corrections	-0.150	eV per atom

a = 5.2142 Å, b = 5.2142 Å, c = 5.2142 Å
α = 90.00°, β = 90.00°, γ = 90.00°
With the nearest neighbours (Å) after each atom.
Sites, in units of the cell vectors:
In  0.5000  0.0000  0.0000  2 Ru 2.61
In  0.0000  0.0000  0.5000  2 Ru 2.61
In  0.0000  0.5000  0.0000  2 Ru 2.61
Ru  0.0000  0.0000  0.0000  6 In 2.61
Br  0.5000  0.5000  0.5000  12 In 3.69

Record 8
Compound: PmSmSnPb
Source: the Alexandria database
Functional: PBE
Structure: relaxed

Results
calculated formation energy	-0.500	eV/atom
total moment	0.001	μB per cell
offset from the most stable computed form	15.4	kJ/mol of atoms

a = 5.5070 Å, b = 5.5070 Å, c = 5.5070 Å
α = 60.00°, β = 60.00°, γ = 60.00°
With the nearest neighbours (Å) after each atom.
Sites, in units of the cell vectors:
Sm  0.5000  0.5000  0.5000  4 Pb 3.37, 4 Sn 3.37
Pb  0.7500  0.7500  0.7500  4 Pm 3.37, 4 Sm 3.37
Pm  0.0000  0.0000  0.0000  4 Sn 3.37, 4 Pb 3.37
Sn  0.2500  0.2500  0.2500  4 Pm 3.37, 4 Sm 3.37

Repeat the fifth record exactly.
Compound: Tb5CeTm2Th
Source: the Alexandria database
Functional: PBE
Structure: relaxed

Results
calculated formation energy	0.184	eV/atom
total moment	1.407	μB per cell

a = 5.6900 Å, b = 10.9794 Å, c = 9.7268 Å
α = 90.00°, β = 90.00°, γ = 105.02°
With the nearest neighbours (Å) after each atom.
Sites, in units of the cell vectors:
Tm  0.1156  0.2313  0.3299  8 Tb 3.30-3.55, 1 Ce 3.38
Tm  0.8727  0.7454  0.2178  1 Ce 3.26, 3 Tb 3.36-3.58, 2 Th 3.55
Tm  0.8844  0.7687  0.8299  8 Tb 3.30-3.55, 1 Ce 3.38
Tm  0.1273  0.2546  0.7178  1 Ce 3.26, 3 Tb 3.36-3.58, 2 Th 3.55
Tb  0.7288  0.4575  0.8245  1 Th 3.03, 1 Tm 3.30, 1 Ce 3.39
Tb  0.4688  0.9377  0.7407  2 Th 3.17-3.36, 3 Tb 3.30-3.55, 2 Tm 3.47
Tb  0.5312  0.0623  0.2407  2 Th 3.17-3.36, 3 Tb 3.30-3.55, 2 Tm 3.47
Tb  0.0143  0.0287  0.0182  2 Tm 3.31-3.58, 2 Th 3.43, 2 Tb 3.59
Tb  0.3021  0.6041  0.7069  2 Ce 3.36, 3 Tb 3.44-3.55, 3 Tm 3.55-3.71, 1 Th 3.55
Tb  0.9857  0.9713  0.5182  2 Tm 3.31-3.58, 2 Th 3.43, 2 Tb 3.59
Tb  0.2712  0.5425  0.3245  1 Th 3.03, 1 Tm 3.30, 1 Ce 3.39
Tb  0.6044  0.2087  0.5399  2 Tb 3.30-3.47, 4 Tm 3.36-3.51
Tb  0.6979  0.3959  0.2069  2 Ce 3.36, 3 Tb 3.44-3.55, 3 Tm 3.55-3.71, 1 Th 3.55
Tb  0.3956  0.7913  0.0399  2 Tb 3.30-3.47, 4 Tm 3.36-3.51
Th  0.5930  0.1859  0.9227  3 Tb 3.03-3.36
Th  0.4070  0.8141  0.4227  3 Tb 3.03-3.36
Ce  0.1905  0.3809  0.0233  2 Tm 3.26-3.38, 5 Tb 3.36-3.53, 2 Th 3.65
Ce  0.8095  0.6191  0.5233  2 Tm 3.26-3.38, 5 Tb 3.36-3.53, 2 Th 3.65

Copy entry 1 word for word.
Compound: Sr2TiRhO5
Source: the Alexandria database
Functional: PBE
Structure: relaxed

Results
total moment	0.000	μB per cell
formation energy without anion corrections	-2.334	eV per atom

a = 3.6198 Å, b = 7.2068 Å, c = 9.9031 Å
α = 90.00°, β = 90.00°, γ = 104.54°
With the nearest neighbours (Å) after each atom.
Sites, in units of the cell vectors:
O  0.6508  0.3016  0.5044  1 Rh 2.03
O  0.4895  0.9790  0.3077  1 Ti 1.81
O  0.5105  0.0210  0.8077  1 Ti 1.81
O  0.9502  0.9005  0.5386  2 Ti 2.00, 1 Rh 2.16
O  0.0498  0.0995  0.0386  2 Ti 2.00, 1 Rh 2.16
O  0.3043  0.6086  0.3670  1 Ti 1.89
O  0.6916  0.3832  0.1338  2 Rh 2.15, 1 Ti 2.32
O  0.3084  0.6168  0.6338  2 Rh 2.15, 1 Ti 2.32
O  0.3492  0.6984  0.0044  1 Rh 2.03
O  0.6957  0.3914  0.8670  1 Ti 1.89
Ti  0.5782  0.1565  0.9630  4 O 1.81-2.00
Ti  0.4218  0.8435  0.4630  4 O 1.81-2.00
Sr  0.8729  0.7459  0.8141  7 O 2.53-2.70
Sr  0.1296  0.2591  0.6783  7 O 2.52-2.77
Sr  0.8704  0.7409  0.1783  7 O 2.52-2.77
Sr  0.1271  0.2541  0.3141  7 O 2.53-2.70
Rh  0.7960  0.5919  0.5171  4 O 2.03-2.16
Rh  0.2040  0.4081  0.0171  4 O 2.03-2.16

Question: The highest total moment belongs to which entry?
Answer: VPbSCl2